# TcAgPAu2

A geometry-optimized TcAgPAu2 structure (PBE, the Alexandria database).

## Properties
Energy of formation, eV per atom: 1.672
D(E_F), states/eV/f.u.: 7.3

Cell: 4.9977 5.0781 4.9977 Å, 90.00 90.00 90.00°
With the nearest neighbours (Å) after each atom.
Positions (direct):
P 0.5000 0.5000 0.5000  4 Ag 3.53, 8 Au 3.56
Au 0.0000 0.0000 0.5000  2 Tc 2.50
Au 0.5000 0.0000 0.0000  2 Tc 2.50
Tc 0.0000 0.0000 0.0000  4 Au 2.50, 2 Ag 2.54
Ag 0.0000 0.5000 0.0000  2 Tc 2.54


# Ac2Pm3Hg2

A geometry-optimized Ac2Pm3Hg2 structure (PBE, the Alexandria database).

## Properties
E above lowest polymorph, kJ per mole of atoms: 0.55
Energy of formation, eV per atom: -0.206
D(E_F), states/eV/f.u.: 8.7

Cell: 3.8585 3.7986 16.4368 Å, 90.00 96.74 90.00°
With the nearest neighbours (Å) after each atom.
Positions (direct):
Ac 0.3031 0.5000 0.6063  4 Hg 3.49, 4 Ac 3.80-3.86
Ac 0.6969 0.5000 0.3937  4 Hg 3.49, 4 Ac 3.80-3.86
Pm 0.4258 0.5000 0.8516  4 Hg 3.25, 4 Pm 3.63
Pm 0.5742 0.5000 0.1484  4 Hg 3.25, 4 Pm 3.63
Pm 0.0000 0.0000 0.0000  12 Pm 3.63-3.86
Hg 0.1294 0.0000 0.2588  4 Pm 3.25, 4 Ac 3.49
Hg 0.8706 0.0000 0.7412  4 Pm 3.25, 4 Ac 3.49


# TbAu2Cl6

A geometry-optimized TbAu2Cl6 structure (PBE, the Alexandria database).

## Properties
Formation energy without anion corrections, eV per formula unit: -9.45
D(E_F), states/eV/f.u.: 3.0

Cell: 7.0984 9.4079 9.4079 Å, 82.34 81.96 81.96°
With the nearest neighbours (Å) after each atom.
Positions (direct):
Tb 0.2500 0.0817 0.9183  6 Cl 2.68
Tb 0.7500 0.9183 0.0817  6 Cl 2.68
Au 0.3813 0.5239 0.7290  2 Cl 2.30-2.36
Au 0.1187 0.2710 0.4761  2 Cl 2.30-2.36
Au 0.6187 0.4761 0.2710  2 Cl 2.30-2.36
Au 0.8813 0.7290 0.5239  2 Cl 2.30-2.36
Cl 0.5235 0.6898 0.5603  1 Au 2.30
Cl 0.9765 0.4397 0.3102  1 Au 2.30
Cl 0.4765 0.3102 0.4397  1 Au 2.30
Cl 0.0235 0.5603 0.6898  1 Au 2.30
Cl 0.8268 0.9312 0.3500  1 Au 2.36
Cl 0.6732 0.6500 0.0688  1 Au 2.36
Cl 0.1732 0.0688 0.6500  1 Au 2.36
Cl 0.3268 0.3500 0.9312  1 Au 2.36
Cl 0.1113 0.8269 0.9780  2 Tb 2.68
Cl 0.3887 0.0220 0.1731  2 Tb 2.68
Cl 0.8887 0.1731 0.0220  2 Tb 2.68
Cl 0.6113 0.9780 0.8269  2 Tb 2.68


# Er7Tm3Mg2

A geometry-optimized Er7Tm3Mg2 structure (PBE, the Alexandria database).

## Properties
Energy of formation, eV per atom: 0.103
D(E_F), states/eV/f.u.: 15.7

Cell: 3.5001 5.6494 18.7650 Å, 103.80 90.00 90.00°
With the nearest neighbours (Å) after each atom.
Positions (direct):
Er 0.5000 0.7190 0.4609  1 Mg 3.05, 2 Er 3.16
Er 0.5000 0.2810 0.5391  1 Mg 3.05, 2 Er 3.16
Er 0.0000 0.4727 0.1467  2 Mg 3.20, 2 Tm 3.30, 7 Er 3.35-3.50
Er 0.0000 0.0000 0.0000  4 Tm 3.32, 8 Er 3.35-3.67
Er 0.0000 0.5273 0.8533  2 Mg 3.20, 2 Tm 3.30, 7 Er 3.35-3.50
Er 0.5000 0.0064 0.8287  8 Er 3.35-3.67, 2 Mg 3.59-3.60, 1 Tm 3.72
Er 0.5000 0.9936 0.1713  8 Er 3.35-3.67, 2 Mg 3.59-3.60, 1 Tm 3.72
Tm 0.5000 0.5000 0.0000  8 Er 3.30-3.32, 2 Tm 3.50
Tm 0.0000 0.1475 0.3699  2 Tm 3.50, 6 Er 3.54-3.72, 4 Mg 3.58-3.62
Tm 0.0000 0.8525 0.6301  2 Tm 3.50, 6 Er 3.54-3.72, 4 Mg 3.58-3.62
Mg 0.5000 0.5911 0.2934  3 Er 3.05-3.20
Mg 0.5000 0.4089 0.7066  3 Er 3.05-3.20


# Mn2AgW2

A geometry-optimized Mn2AgW2 structure (PBE, the Alexandria database).

## Properties
Energy of formation, eV per atom: 0.402
D(E_F), states/eV/f.u.: 4.9

Cell: 7.1504 7.1504 2.8565 Å, 90.00 90.00 90.00°
With the nearest neighbours (Å) after each atom.
Positions (direct):
Mn 0.3598 0.8598 0.0000  6 W 2.52-2.55, 2 Ag 2.76
Mn 0.8598 0.6402 0.0000  6 W 2.52-2.55, 2 Ag 2.76
Mn 0.6402 0.1402 0.0000  6 W 2.52-2.55, 2 Ag 2.76
Mn 0.1402 0.3598 0.0000  6 W 2.52-2.55, 2 Ag 2.76
Ag 0.0000 0.0000 0.0000  4 Mn 2.76, 2 Ag 2.86, 8 W 3.06
Ag 0.5000 0.5000 0.0000  4 Mn 2.76, 2 Ag 2.86, 8 W 3.06
W 0.1544 0.6544 0.5000  6 Mn 2.52-2.55
W 0.6544 0.8456 0.5000  6 Mn 2.52-2.55
W 0.8456 0.3456 0.5000  6 Mn 2.52-2.55
W 0.3456 0.1544 0.5000  6 Mn 2.52-2.55


# LaSc2Cd

A geometry-optimized LaSc2Cd structure (PBE, the Alexandria database).

## Properties
Energy of formation, eV per atom: 0.015
D(E_F), states/eV/f.u.: 6.8

Cell: 5.8077 5.8077 5.8077 Å, 131.96 131.96 70.30°
With the nearest neighbours (Å) after each atom.
Positions (direct):
Cd 0.2500 0.7500 0.5000  4 La 3.34, 8 Sc 3.35
La 0.7500 0.2500 0.5000  4 Cd 3.34, 8 Sc 3.35
Sc 0.0000 0.0000 0.0000  4 Sc 3.34, 4 La 3.35, 4 Cd 3.35
Sc 0.5000 0.5000 0.0000  4 Sc 3.34, 4 Cd 3.35, 4 La 3.35